Entry 1:
DFT (PBE) results for crystalline HfTiNb2 at its relaxed geometry.

Cell and atoms, written as CIF:
```
data_HfTiNb2
_symmetry_space_group_name_H-M 'P 1'
_symmetry_Int_Tables_number 1
_symmetry_space_group_name_Hall 'P 1'
_cell_length_a 3.335
_cell_length_b 3.335
_cell_length_c 6.749
_cell_angle_alpha 90.00
_cell_angle_beta 90.00
_cell_angle_gamma 90.00
loop_
_atom_site_label
_atom_site_type_symbol
_atom_site_fract_x
_atom_site_fract_y
_atom_site_fract_z
Nb1 Nb 0.000 0.000 0.773
Nb2 Nb 0.000 0.000 0.227
Hf1 Hf 0.500 0.500 0.500
Ti1 Ti 0.500 0.500 0.000
```

Summary:
ΔH_f (0 K)   30 kJ/mol of formula units
Offset from the most stable computed form   0 meV/atom
Space group   P4/mmm
Final energy   -37.7 eV for the cell shown
M_tot   0.000 μB per atom

***

Entry 2:
DFT (PBE) results for crystalline HfTiNb at its relaxed geometry.

Cell and atoms, written as CIF:
```
data_HfTiNb
_symmetry_space_group_name_H-M 'P 1'
_symmetry_Int_Tables_number 1
_symmetry_space_group_name_Hall 'P 1'
_cell_length_a 3.362
_cell_length_b 5.450
_cell_length_c 6.972
_cell_angle_alpha 106.76
_cell_angle_beta 90.00
_cell_angle_gamma 107.97
loop_
_atom_site_label
_atom_site_type_symbol
_atom_site_fract_x
_atom_site_fract_y
_atom_site_fract_z
Hf1 Hf 0.166 0.333 0.606
Hf2 Hf 0.834 0.667 0.394
Nb1 Nb 0.527 0.055 0.251
Nb2 Nb 0.473 0.945 0.749
Ti1 Ti 0.147 0.294 0.041
Ti2 Ti 0.853 0.706 0.959
```

Summary:
ΔH_f (0 K)   11 kJ/mol of formula units
Offset from the most stable computed form   9 meV/atom
Space group   C2/m
Final energy   -55.6 eV for the cell shown
M_tot   0.000 μB per atom

***

Entry 3:
DFT (PBE) results for crystalline Hf2TiNb4 at its relaxed geometry.

Cell and atoms, written as CIF:
```
data_Hf2TiNb4
_symmetry_space_group_name_H-M 'P 1'
_symmetry_Int_Tables_number 1
_symmetry_space_group_name_Hall 'P 1'
_cell_length_a 3.335
_cell_length_b 3.278
_cell_length_c 12.785
_cell_angle_alpha 90.00
_cell_angle_beta 97.49
_cell_angle_gamma 90.00
loop_
_atom_site_label
_atom_site_type_symbol
_atom_site_fract_x
_atom_site_fract_y
_atom_site_fract_z
Nb1 Nb 0.373 0.000 0.745
Nb2 Nb 0.933 0.500 0.867
Nb3 Nb 0.627 0.000 0.255
Nb4 Nb 0.067 0.500 0.133
Hf1 Hf 0.197 0.500 0.394
Hf2 Hf 0.803 0.500 0.606
Ti1 Ti 0.500 0.000 0.000
```

Summary:
ΔH_f (0 K)   87 kJ/mol of formula units
Space group   Cmmm
Final energy   -67.2 eV for the cell shown
M_tot   0.000 μB per atom

***

Entry 4:
DFT (PBE) results for crystalline HfTiNb at its relaxed geometry.

Cell and atoms, written as CIF:
```
data_HfTiNb
_symmetry_space_group_name_H-M 'P 1'
_symmetry_Int_Tables_number 1
_symmetry_space_group_name_Hall 'P 1'
_cell_length_a 2.995
_cell_length_b 5.709
_cell_length_c 7.201
_cell_angle_alpha 76.83
_cell_angle_beta 78.87
_cell_angle_gamma 76.86
loop_
_atom_site_label
_atom_site_type_symbol
_atom_site_fract_x
_atom_site_fract_y
_atom_site_fract_z
Ti1 Ti 0.210 0.026 0.387
Ti2 Ti 0.114 0.689 0.731
Hf1 Hf 0.646 0.367 0.065
Hf2 Hf 0.448 0.167 0.719
Nb1 Nb 0.818 0.544 0.404
Nb2 Nb 0.096 0.848 0.078
```

Summary:
ΔH_f (0 K)   17 kJ/mol of formula units
Offset from the most stable computed form   31 meV/atom
Space group   P1
Final energy   -55.5 eV for the cell shown
M_tot   0.000 μB per atom

***

Entry 5:
DFT (PBE) results for crystalline HfTi3Nb at its relaxed geometry.

Cell and atoms, written as CIF:
```
data_HfTi3Nb
_symmetry_space_group_name_H-M 'P 1'
_symmetry_Int_Tables_number 1
_symmetry_space_group_name_Hall 'P 1'
_cell_length_a 4.742
_cell_length_b 4.742
_cell_length_c 4.742
_cell_angle_alpha 90.00
_cell_angle_beta 90.00
_cell_angle_gamma 90.00
loop_
_atom_site_label
_atom_site_type_symbol
_atom_site_fract_x
_atom_site_fract_y
_atom_site_fract_z
Ti1 Ti 0.500 0.000 0.000
Ti2 Ti 0.000 0.000 0.500
Ti3 Ti 0.000 0.500 0.000
Hf1 Hf 0.500 0.500 0.500
Nb1 Nb 0.000 0.000 0.000
```

Summary:
ΔH_f (0 K)   401 kJ/mol of formula units
Offset from the most stable computed form   781 meV/atom
Space group   Pm-3m
Final energy   -39.5 eV for the cell shown
M_tot   0.000 μB per atom

***

Entry 6:
DFT (PBE) results for crystalline HfTi3Nb at its relaxed geometry.

Cell and atoms, written as CIF:
```
data_HfTi3Nb
_symmetry_space_group_name_H-M 'P 1'
_symmetry_Int_Tables_number 1
_symmetry_space_group_name_Hall 'P 1'
_cell_length_a 4.738
_cell_length_b 4.738
_cell_length_c 4.738
_cell_angle_alpha 90.00
_cell_angle_beta 90.00
_cell_angle_gamma 90.00
loop_
_atom_site_label
_atom_site_type_symbol
_atom_site_fract_x
_atom_site_fract_y
_atom_site_fract_z
Ti1 Ti 0.500 0.000 0.000
Ti2 Ti 0.000 0.500 0.000
Ti3 Ti 0.000 0.000 0.500
Nb1 Nb 0.500 0.500 0.500
Hf1 Hf 0.000 0.000 0.000
```

Summary:
ΔH_f (0 K)   633 kJ/mol of formula units
Offset from the most stable computed form   1262 meV/atom
Space group   Pm-3m
Final energy   -37.1 eV for the cell shown
M_tot   0.000 μB per atom

***

Entry 7:
DFT (PBE) results for crystalline Hf2TiNb at its relaxed geometry.

Cell and atoms, written as CIF:
```
data_Hf2TiNb
_symmetry_space_group_name_H-M 'P 1'
_symmetry_Int_Tables_number 1
_symmetry_space_group_name_Hall 'P 1'
_cell_length_a 7.511
_cell_length_b 7.511
_cell_length_c 6.052
_cell_angle_alpha 51.64
_cell_angle_beta 51.64
_cell_angle_gamma 90.00
loop_
_atom_site_label
_atom_site_type_symbol
_atom_site_fract_x
_atom_site_fract_y
_atom_site_fract_z
Hf1 Hf 0.875 0.872 0.750
Hf2 Hf 0.375 0.378 0.750
Hf3 Hf 0.622 0.125 0.250
Hf4 Hf 0.128 0.625 0.250
Nb1 Nb 0.000 0.000 0.000
Nb2 Nb 0.750 0.250 0.500
Ti1 Ti 0.250 0.750 0.500
Ti2 Ti 0.500 0.500 0.000
```

Summary:
ΔH_f (0 K)   221 kJ/mol of formula units
Offset from the most stable computed form   471 meV/atom
Space group   I-42d
Final energy   -71.2 eV for the cell shown
M_tot   0.000 μB per atom

***

Entry 8:
DFT (PBE) results for crystalline Hf2TiNb at its relaxed geometry.

Cell and atoms, written as CIF:
```
data_Hf2TiNb
_symmetry_space_group_name_H-M 'P 1'
_symmetry_Int_Tables_number 1
_symmetry_space_group_name_Hall 'P 1'
_cell_length_a 5.806
_cell_length_b 3.009
_cell_length_c 4.745
_cell_angle_alpha 90.00
_cell_angle_beta 90.00
_cell_angle_gamma 74.80
loop_
_atom_site_label
_atom_site_type_symbol
_atom_site_fract_x
_atom_site_fract_y
_atom_site_fract_z
Ti1 Ti 0.750 0.750 0.500
Nb1 Nb 0.250 0.250 0.500
Hf1 Hf 0.008 0.087 0.000
Hf2 Hf 0.492 0.413 0.000
```

Summary:
ΔH_f (0 K)   46 kJ/mol of formula units
Offset from the most stable computed form   16 meV/atom
Space group   P2/m
Final energy   -37.4 eV for the cell shown
M_tot   0.000 μB per atom